KMo3N | GGA-PBEsol | optimized geometry

Theoretical density in g/cm³: 7.5
Energy relative to the elements, uncorrected in meV/atom: 893.9

a b c (Å): 4.228 4.228 4.228
angles (deg): 90.00 90.00 90.00
Atoms (fractional coordinates):
K 0.000 0.000 0.000
Mo 0.000 0.500 0.500
Mo 0.500 0.000 0.500
Mo 0.500 0.500 0.000
N 0.500 0.500 0.500